LiTi2Tl | SCAN | PBEsol geometry

abc: 7.533 7.533 5.038
angles: 90.00 90.00 90.00
Element x y z (fractional)
Li  0.000  0.000  0.000
Li  0.000  0.500  0.250
Li  0.500  0.000  0.750
Li  0.500  0.500  0.500
Ti  0.241  0.750  0.125
Ti  0.250  0.241  0.875
Ti  0.250  0.259  0.375
Ti  0.259  0.750  0.625
Ti  0.741  0.250  0.625
Ti  0.750  0.741  0.375
Ti  0.750  0.759  0.875
Ti  0.759  0.250  0.125
Tl  0.000  0.000  0.500
Tl  0.000  0.500  0.750
Tl  0.500  0.000  0.250
Tl  0.500  0.500  0.000

Theoretical density (g cm⁻³): 7.13
Energy of formation from the pure elements (eV/f.u.): 1.31
Crystal system: tetragonal
Magnetization (μB/f.u.): 0.0

Sc2AlCl | SCAN | PBEsol geometry

abc: 3.181 3.295 7.693
angles: 90.00 90.00 90.00
Element x y z (fractional)
Sc  0.000  0.000  0.229
Sc  0.000  0.000  0.771
Al  0.500  0.500  0.000
Cl  0.500  0.000  0.500

Theoretical density (g cm⁻³): 3.14
Crystal system: orthorhombic
Magnetization (μB/f.u.): 0.0
Energy above the most stable polymorph in this dataset (meV/atom): 0

FeRuF3 | SCAN | PBEsol geometry

abc: 4.077 4.077 4.077
angles: 90.00 90.00 90.00
Element x y z (fractional)
Fe  0.000  0.000  0.000
Ru  0.500  0.500  0.500
F  0.000  0.500  0.500
F  0.500  0.000  0.500
F  0.500  0.500  0.000

Theoretical density (g cm⁻³): 5.24
Final energy (eV/f.u.): -67.3
Crystal system: cubic
Magnetization (μB/f.u.): 3.5

LiPmHg2 | SCAN | PBEsol geometry

abc: 7.108 7.108 7.108
angles: 90.00 90.00 90.00
Element x y z (fractional)
Li  0.000  0.000  0.000
Li  0.000  0.500  0.500
Li  0.500  0.000  0.500
Li  0.500  0.500  0.000
Pm  0.000  0.000  0.500
Pm  0.000  0.500  0.000
Pm  0.500  0.000  0.000
Pm  0.500  0.500  0.500
Hg  0.250  0.250  0.250
Hg  0.250  0.250  0.750
Hg  0.250  0.750  0.250
Hg  0.250  0.750  0.750
Hg  0.750  0.250  0.250
Hg  0.750  0.250  0.750
Hg  0.750  0.750  0.250
Hg  0.750  0.750  0.750

Theoretical density (g cm⁻³): 10.23
Energy of formation from the pure elements (eV/f.u.): -2.50
Crystal system: cubic
Magnetization (μB/f.u.): 0.0

La2CuPb | SCAN | PBEsol geometry

abc: 4.020 4.901 10.538
angles: 90.00 90.00 90.00
Element x y z (fractional)
La  0.000  0.000  0.000
La  0.000  0.500  0.209
La  0.500  0.000  0.709
La  0.500  0.500  0.500
Cu  0.000  0.000  0.466
Cu  0.500  0.500  0.966
Pb  0.000  0.500  0.783
Pb  0.500  0.000  0.283

Theoretical density (g cm⁻³): 8.78
Energy of formation from the pure elements (eV/f.u.): -1.76
Crystal system: orthorhombic
Magnetization (μB/f.u.): 0.0

Pr2I5 | SCAN | PBEsol geometry

abc: 8.691 4.265 14.466
angles: 90.00 91.38 90.00
Element x y z (fractional)
Pr  0.080  0.250  0.157
Pr  0.406  0.750  0.347
Pr  0.594  0.250  0.653
Pr  0.920  0.750  0.843
I  0.139  0.250  0.377
I  0.159  0.250  0.778
I  0.193  0.750  0.009
I  0.350  0.750  0.571
I  0.446  0.250  0.185
I  0.554  0.750  0.815
I  0.650  0.250  0.429
I  0.807  0.250  0.991
I  0.841  0.750  0.222
I  0.861  0.750  0.623

Theoretical density (g cm⁻³): 5.68
Final energy (eV/f.u.): -281.2
Crystal system: monoclinic
Magnetization (μB/f.u.): 1.0

NiIr2Os | SCAN | PBEsol geometry

abc: 8.797 2.683 4.575
angles: 90.00 100.23 90.00
Element x y z (fractional)
Ni  0.000  0.000  0.000
Ni  0.500  0.500  0.000
Ir  0.250  0.000  0.762
Ir  0.499  0.000  0.490
Ir  0.750  0.500  0.762
Ir  0.999  0.500  0.490
Os  0.250  0.500  0.253
Os  0.750  0.000  0.253

Theoretical density (g cm⁻³): 19.79
Energy of formation from the pure elements (eV/f.u.): 0.22
Crystal system: monoclinic
Magnetization (μB/f.u.): 0.0
Energy above the most stable polymorph in this dataset (meV/atom): 62

KSeO2 | SCAN | PBEsol geometry

abc: 3.436 3.436 20.181
angles: 90.00 90.00 120.00
Element x y z (fractional)
K  0.000  0.000  0.000
K  0.333  0.667  0.667
K  0.667  0.333  0.333
Se  0.000  0.000  0.500
Se  0.333  0.667  0.167
Se  0.667  0.333  0.833
O  0.000  0.000  0.121
O  0.000  0.000  0.879
O  0.333  0.667  0.546
O  0.333  0.667  0.787
O  0.667  0.333  0.213
O  0.667  0.333  0.454

Theoretical density (g cm⁻³): 3.62
Final energy (eV/f.u.): -42.5
Crystal system: trigonal
Magnetization (μB/f.u.): 0.0

| no. | V (Å³/atom) |
| --- | --- |
| 1 | 17.87 |
| 2 | 20.16 |
| 3 | 13.55 |
| 4 | 22.44 |
| 5 | 25.95 |
| 6 | 38.29 |
| 7 | 13.28 |
| 8 | 17.19 |